# 1
{
  "formula": "AlSi2BPt",
  "functional": "PBE",
  "state": "relaxed",
  "crystal_system": "tetragonal",
  "dos_ef_per_ev_atom": 0.579,
  "mass_density_g_cm3": 4.74,
  "dft_energy_ev_per_fu": -19.44,
  "volume_a3_per_atom": 20.25,
  "e_form_raw_ev_per_atom": 1.574,
  "magmom_total_mub_per_cell": 0.00,
  "lattice": [[4.6774, 0.0000, 0.0000], [0.0000, 4.6774, 0.0000], [0.0000, 0.0000, 4.6272]],
  "species": ["Al", "Si", "Si", "B", "Pt"],
  "fractional_positions": [[0.0000, 0.0000, 0.0000], [0.0000, 0.5000, 0.0000], [0.5000, 0.0000, 0.0000], [0.5000, 0.5000, 0.5000], [0.0000, 0.0000, 0.5000]]
}


# 2
{
  "formula": "TlVCoSi2",
  "functional": "PBE",
  "state": "relaxed",
  "crystal_system": "tetragonal",
  "dos_ef_per_ev_atom": 1.727,
  "mass_density_g_cm3": 5.25,
  "dft_energy_ev_per_fu": -19.08,
  "volume_a3_per_atom": 23.43,
  "e_form_raw_ev_per_atom": 2.071,
  "magmom_total_mub_per_cell": 0.19,
  "lattice": [[5.0019, 0.0000, 0.0000], [0.0000, 5.0019, 0.0000], [0.0000, 0.0000, 4.6816]],
  "species": ["Tl", "V", "Co", "Si", "Si"],
  "fractional_positions": [[0.0000, 0.0000, 0.0000], [0.5000, 0.5000, 0.5000], [0.0000, 0.0000, 0.5000], [0.0000, 0.5000, 0.0000], [0.5000, 0.0000, 0.0000]]
}


# 3
{
  "formula": "Mg4Zn2Cu",
  "functional": "PBE",
  "state": "relaxed",
  "crystal_system": "tetragonal",
  "dos_ef_per_ev_atom": 0.443,
  "de_polymorph_ev_per_fu": 1.29,
  "mass_density_g_cm3": 3.52,
  "dft_energy_ev_per_fu": -12.02,
  "ef_ev_per_atom": 0.143,
  "volume_a3_per_atom": 19.67,
  "magmom_total_mub_per_cell": 0.00,
  "lattice": [[-3.4194, 3.4194, 2.9433], [3.4194, -3.4194, 2.9433], [3.4194, 3.4194, -2.9433]],
  "species": ["Mg", "Mg", "Mg", "Mg", "Zn", "Zn", "Cu"],
  "fractional_positions": [[0.2241, 0.2241, 0.4483], [0.2241, 0.7759, 0.0000], [0.7759, 0.2241, 0.0000], [0.7759, 0.7759, 0.5517], [0.2500, 0.7500, 0.5000], [0.7500, 0.2500, 0.5000], [0.5000, 0.5000, 0.0000]]
}


# 4
{
  "formula": "KAlSi2",
  "functional": "PBE",
  "state": "relaxed",
  "crystal_system": "monoclinic",
  "dos_ef_per_ev_atom": 0.514,
  "mass_density_g_cm3": 2.06,
  "dft_energy_ev_per_fu": -15.07,
  "volume_a3_per_atom": 24.59,
  "e_form_raw_ev_per_atom": 0.154,
  "magmom_total_mub_per_cell": 0.00,
  "lattice": [[3.8442, 0.0000, 0.0000], [0.0000, 3.5995, 0.0000], [-1.8928, 0.0000, 7.1089]],
  "species": ["K", "Al", "Si", "Si"],
  "fractional_positions": [[0.0000, 0.0000, 0.0000], [0.7243, 0.5000, 0.4408], [0.2350, 0.0000, 0.4626], [0.3506, 0.5000, 0.6968]]
}


# 5
{
  "formula": "Ac3NpS6",
  "functional": "PBE",
  "state": "relaxed",
  "crystal_system": "orthorhombic",
  "dos_ef_per_ev_atom": 1.248,
  "de_polymorph_ev_per_fu": 3.88,
  "mass_density_g_cm3": 6.00,
  "dft_energy_ev_per_fu": -65.49,
  "volume_a3_per_atom": 30.72,
  "e_form_raw_ev_per_atom": -1.546,
  "magmom_total_mub_per_cell": 2.52,
  "lattice": [[0.0000, 5.3679, 6.5527], [4.3665, 0.0000, 6.5527], [4.3665, 5.3679, 0.0000]],
  "species": ["Ac", "Ac", "Ac", "Np", "S", "S", "S", "S", "S", "S"],
  "fractional_positions": [[0.0000, 0.0000, 0.0000], [0.2500, 0.2500, 0.2500], [0.7500, 0.7500, 0.7500], [0.5000, 0.5000, 0.5000], [0.1355, 0.5934, 0.8645], [0.2612, 0.7388, 0.2612], [0.4066, 0.8645, 0.5934], [0.5934, 0.1355, 0.4066], [0.7388, 0.2612, 0.7388], [0.8645, 0.4066, 0.1355]]
}


# 6
{
  "formula": "TlFeI2",
  "functional": "PBE",
  "state": "relaxed",
  "crystal_system": "cubic",
  "dos_ef_per_ev_atom": 1.140,
  "de_polymorph_ev_per_fu": 1.43,
  "mass_density_g_cm3": 6.99,
  "dft_energy_ev_per_fu": -12.62,
  "volume_a3_per_atom": 30.53,
  "e_form_raw_ev_per_atom": 0.327,
  "magmom_total_mub_per_cell": 3.19,
  "lattice": [[0.0000, 3.9378, 3.9378], [3.9378, 0.0000, 3.9378], [3.9378, 3.9378, 0.0000]],
  "species": ["Tl", "Fe", "I", "I"],
  "fractional_positions": [[0.0000, 0.0000, 0.0000], [0.5000, 0.5000, 0.5000], [0.2500, 0.2500, 0.2500], [0.7500, 0.7500, 0.7500]]
}


# 7
{
  "formula": "La5Ag4Sn",
  "functional": "PBE",
  "state": "relaxed",
  "crystal_system": "tetragonal",
  "dos_ef_per_ev_atom": 1.009,
  "mass_density_g_cm3": 7.26,
  "dft_energy_ev_per_fu": -43.57,
  "ef_ev_per_atom": -0.353,
  "volume_a3_per_atom": 28.48,
  "magmom_total_mub_per_cell": 0.00,
  "lattice": [[3.8073, 0.0000, 0.0000], [0.0000, 3.8073, 0.0000], [0.0000, 0.0000, 19.6492]],
  "species": ["La", "La", "La", "La", "La", "Ag", "Ag", "Ag", "Ag", "Sn"],
  "fractional_positions": [[0.0000, 0.0000, 0.0000], [0.0000, 0.0000, 0.1966], [0.0000, 0.0000, 0.3952], [0.0000, 0.0000, 0.6048], [0.0000, 0.0000, 0.8034], [0.5000, 0.5000, 0.0988], [0.5000, 0.5000, 0.2918], [0.5000, 0.5000, 0.7082], [0.5000, 0.5000, 0.9012], [0.5000, 0.5000, 0.5000]]
}


# 8
{
  "formula": "Y2BiPd2",
  "functional": "PBE",
  "state": "relaxed",
  "crystal_system": "tetragonal",
  "dos_ef_per_ev_atom": 0.826,
  "de_polymorph_ev_per_fu": 1.18,
  "mass_density_g_cm3": 7.99,
  "dft_energy_ev_per_fu": -30.44,
  "ef_ev_per_atom": -0.649,
  "volume_a3_per_atom": 24.91,
  "magmom_total_mub_per_cell": 0.00,
  "lattice": [[-1.9947, 1.9947, 7.8262], [1.9947, -1.9947, 7.8262], [1.9947, 1.9947, -7.8262]],
  "species": ["Y", "Y", "Bi", "Pd", "Pd"],
  "fractional_positions": [[0.1175, 0.1175, 0.0000], [0.8825, 0.8825, 0.0000], [0.5000, 0.5000, 0.0000], [0.2500, 0.7500, 0.5000], [0.7500, 0.2500, 0.5000]]
}